(1)
This record from Alexandria via LeMat-Bulk describes crystalline LaIn2Re at its relaxed geometry. The functional is GGA-PBE.

Values from the calculation:
size of the total moment = 0.0003 μB per atom
energy of formation from the pure elements = 0.236 eV/atom
energy above the lowest structure with this stoichiometry = 55.0 meV/atom

a = 4.668 Å, b = 4.668 Å, c = 8.347 Å
α = 90.00°, β = 90.00°, γ = 90.00°
Space group I4/mmm (No. 139)
Unique sites:
La  0.000  0.000  0.000 x2
In  0.000  0.500  0.250 x4
Re  0.000  0.000  0.500 x2

***

(2)
This record from Alexandria via LeMat-Bulk describes crystalline Tb5AgAu4 at its relaxed geometry. The functional is GGA-PBE.

Values from the calculation:
size of the total moment = 0.0000 μB per atom
energy of formation from the pure elements = -0.749 eV/atom

a = 3.596 Å, b = 3.596 Å, c = 18.348 Å
α = 90.00°, β = 90.00°, γ = 90.00°
Space group P4/mmm (No. 123)
Unique sites:
Tb  0.000  0.000  0.000 x1
Tb  0.000  0.000  0.199 x2
Tb  0.000  0.000  0.397 x2
Ag  0.500  0.500  0.500 x1
Au  0.500  0.500  0.100 x2
Au  0.500  0.500  0.300 x2

***

(3)
This record from Alexandria via LeMat-Bulk describes crystalline BiSb2TeIr at its relaxed geometry. The functional is GGA-PBE.

Values from the calculation:
size of the total moment = 0.0000 μB per atom
formation energy without anion corrections = 0.377 eV per atom
energy above the lowest structure with this stoichiometry = 0.0 meV/atom

a = 5.115 Å, b = 5.115 Å, c = 5.587 Å
α = 90.00°, β = 90.00°, γ = 90.00°
Space group P4/mmm (No. 123)
Unique sites:
Bi  0.000  0.000  0.000 x1
Sb  0.000  0.500  0.500 x2
Te  0.500  0.500  0.000 x1
Ir  0.500  0.500  0.500 x1

***

(4)
This record from Alexandria via LeMat-Bulk describes crystalline Pa2CuSiC at its relaxed geometry. The functional is GGA-PBE.

Values from the calculation:
size of the total moment = 0.0000 μB per atom
formation energy without anion corrections = -0.318 eV per atom

a = 6.439 Å, b = 3.835 Å, c = 7.538 Å
α = 90.00°, β = 105.64°, γ = 90.00°
Space group P2_1/m (No. 11)
Unique sites:
Pa  0.159  0.250  0.389 x2
Pa  0.226  0.250  0.971 x2
Cu  0.458  0.750  0.278 x2
Si  0.326  0.750  0.700 x2
C  0.143  0.750  0.169 x2

***

(5)
This record from Alexandria via LeMat-Bulk describes crystalline SrCrSn3 at its relaxed geometry. The functional is GGA-PBE.

Values from the calculation:
size of the total moment = 0.0085 μB per atom
energy of formation from the pure elements = 1.760 eV/atom

a = 5.887 Å, b = 5.887 Å, c = 5.887 Å
α = 90.00°, β = 90.00°, γ = 90.00°
Space group Pm-3m (No. 221)
Unique sites:
Sr  0.000  0.000  0.000 x1
Cr  0.500  0.500  0.500 x1
Sn  0.000  0.000  0.500 x3

***

(6)
This record from Alexandria via LeMat-Bulk describes crystalline GaPOsCl2 at its relaxed geometry. The functional is GGA-PBE.

Values from the calculation:
size of the total moment = 0.7331 μB per atom
formation energy without anion corrections = 1.116 eV per atom
energy above the lowest structure with this stoichiometry = 911.3 meV/atom

a = 4.606 Å, b = 4.606 Å, c = 5.108 Å
α = 90.00°, β = 90.00°, γ = 90.00°
Space group P4/mmm (No. 123)
Unique sites:
Ga  0.000  0.000  0.000 x1
P  0.000  0.000  0.500 x1
Os  0.500  0.500  0.500 x1
Cl  0.000  0.500  0.000 x2

***

(7)
This record from Alexandria via LeMat-Bulk describes crystalline InIrPb2 at its relaxed geometry. The functional is GGA-PBE.

Values from the calculation:
size of the total moment = 0.0000 μB per atom
energy of formation from the pure elements = 0.281 eV/atom

a = 3.4197 Å, b = 3.4197 Å, c = 29.6660 Å
α = 90.00°, β = 90.00°, γ = 120.00°
Space group R-3m (No. 166, hexagonal axes)
Unique sites:
In  0.0000  0.0000  0.0000 x3
Ir  0.0000  0.0000  0.5000 x3
Pb  0.0000  0.0000  0.2363 x6

***

(8)
This record from Alexandria via LeMat-Bulk describes crystalline Fe3CoRe at its relaxed geometry. The functional is GGA-PBE.

Values from the calculation:
size of the total moment = 0.0001 μB per atom
energy of formation from the pure elements = 1.625 eV/atom
energy above the lowest structure with this stoichiometry = 0.0 meV/atom

a = 4.062 Å, b = 4.062 Å, c = 4.062 Å
α = 90.00°, β = 90.00°, γ = 90.00°
Space group Pm-3m (No. 221)
Unique sites:
Fe  0.000  0.000  0.500 x3
Co  0.000  0.000  0.000 x1
Re  0.500  0.500  0.500 x1